(1)
The following is a PBE calculation of ZrBN2O after structural relaxation, from Alexandria.

a = 3.302 Å, b = 3.302 Å, c = 3.785 Å
α = 90.00°, β = 90.00°, γ = 90.00°
Sites, in units of the cell vectors:
Zr  0.000  0.000  0.000
B  0.500  0.500  0.500
N  0.000  0.500  0.500
N  0.500  0.000  0.500
O  0.500  0.500  0.000

## Properties
Volume   41.3 Å³/f.u.
VASP energy   -39.786 eV per formula unit
SG   No. 123
Energy relative to the elements, uncorrected   -0.5903 eV per atom

---

(2)
The following is a PBE calculation of ZrBN2O after structural relaxation, from Alexandria.

a = 4.379 Å, b = 4.379 Å, c = 4.096 Å
α = 90.00°, β = 90.00°, γ = 90.00°
Sites, in units of the cell vectors:
Zr  0.000  0.000  0.000
B  0.500  0.500  0.500
N  0.000  0.500  0.000
N  0.500  0.000  0.000
O  0.000  0.000  0.500

## Properties
Volume   78.6 Å³/f.u.
VASP energy   -32.210 eV per formula unit
SG   No. 123
Energy relative to the elements, uncorrected   0.9249 eV per atom

---

(3)
The following is a PBE calculation of BOsN2 after structural relaxation, from Alexandria.

a = 4.313 Å, b = 4.313 Å, c = 7.458 Å
α = 90.00°, β = 90.00°, γ = 90.00°
Sites, in units of the cell vectors:
B  0.000  0.000  0.000
B  0.000  0.500  0.250
B  0.500  0.000  0.750
B  0.500  0.500  0.500
Os  0.000  0.000  0.500
Os  0.000  0.500  0.750
Os  0.500  0.000  0.250
Os  0.500  0.500  0.000
N  0.158  0.250  0.125
N  0.250  0.658  0.375
N  0.250  0.842  0.875
N  0.342  0.250  0.625
N  0.658  0.750  0.625
N  0.750  0.158  0.875
N  0.750  0.342  0.375
N  0.842  0.750  0.125

## Properties
Volume   34.7 Å³/f.u.
VASP energy   -34.157 eV per formula unit
SG   No. 122
Energy relative to the elements, uncorrected   0.1002 eV per atom

---

(4)
The following is a PBE calculation of BOs2N after structural relaxation, from Alexandria.

a = 4.649 Å, b = 4.649 Å, c = 9.321 Å
α = 90.00°, β = 90.00°, γ = 90.00°
Sites, in units of the cell vectors:
B  0.000  0.000  0.000
B  0.000  0.500  0.250
B  0.500  0.000  0.750
B  0.500  0.500  0.500
Os  0.232  0.250  0.625
Os  0.250  0.732  0.875
Os  0.250  0.768  0.375
Os  0.268  0.250  0.125
Os  0.732  0.750  0.125
Os  0.750  0.232  0.375
Os  0.750  0.268  0.875
Os  0.768  0.750  0.625
N  0.000  0.000  0.500
N  0.000  0.500  0.750
N  0.500  0.000  0.250
N  0.500  0.500  0.000

## Properties
Volume   50.4 Å³/f.u.
VASP energy   -35.300 eV per formula unit
Offset from the most stable computed form   0 meV per atom
SG   No. 122
Energy relative to the elements, uncorrected   0.5405 eV per atom